(1)
! MoAsP2, PBEsol geometry, DFT SCAN; values from VASP
&SYSTEM
  ibrav = 0, nat = 4, ntyp = 3
/
ATOMIC_SPECIES
As 74.92 As.upf
Mo 95.94 Mo.upf
P 30.97 P.upf
CELL_PARAMETERS angstrom
3.611 -0.013 -0.021
-1.215 4.424 -0.004
-1.215 -2.124 3.881
ATOMIC_POSITIONS crystal
As 0.500 0.000 0.000
Mo 0.500 0.500 0.500
P 0.000 0.000 0.500
P 0.000 0.500 0.000
! D(E_F) ... 2.37 states/eV per cell
! E_form ... 383 meV per atom
! Spin magnetization ... 0.0 μB/f.u.

=====

(2)
! BaMoIr2, PBEsol geometry, DFT SCAN; values from VASP
&SYSTEM
  ibrav = 0, nat = 4, ntyp = 3
/
ATOMIC_SPECIES
Ir 192.22 Ir.upf
Mo 95.94 Mo.upf
Ba 137.33 Ba.upf
CELL_PARAMETERS angstrom
-1.218 2.405 1.452
-2.147 0.225 -2.172
-4.815 -4.998 4.241
ATOMIC_POSITIONS crystal
Ir 0.000 0.000 0.813
Ir 0.000 0.000 0.187
Mo 0.500 0.500 0.000
Ba 0.500 0.500 0.500
! D(E_F) ... 3.17 states/eV per cell
! E_form ... 146 meV per atom
! Spin magnetization ... 0.0 μB/f.u.

=====

(3)
! Na3TaHg, PBEsol geometry, DFT SCAN; values from VASP
&SYSTEM
  ibrav = 0, nat = 5, ntyp = 3
/
ATOMIC_SPECIES
Na 22.99 Na.upf
Hg 200.59 Hg.upf
Ta 180.95 Ta.upf
CELL_PARAMETERS angstrom
-3.333 4.264 0.405
-1.996 -1.092 -4.927
-3.789 -3.175 2.239
ATOMIC_POSITIONS crystal
Na 0.000 0.000 0.500
Na 0.000 0.500 0.000
Na 0.500 0.000 0.000
Hg 0.000 0.000 0.000
Ta 0.500 0.500 0.500
! D(E_F) ... 5.53 states/eV per cell
! E_form ... 1196 meV per atom
! Spin magnetization ... 4.3 μB/f.u.

=====

(4)
! In2Hg6P3Cl9, PBEsol geometry, DFT SCAN; values from VASP
&SYSTEM
  ibrav = 0, nat = 40, ntyp = 4
/
ATOMIC_SPECIES
Hg 200.59 Hg.upf
Cl 35.45 Cl.upf
In 114.82 In.upf
P 30.97 P.upf
CELL_PARAMETERS angstrom
10.334 0.000 0.076
0.000 10.660 0.000
-4.732 0.000 9.638
ATOMIC_POSITIONS crystal
Hg 0.287 0.052 0.387
Hg 0.853 0.219 0.775
Hg 0.176 0.988 0.999
Hg 0.136 0.141 0.649
Hg 0.526 0.815 0.318
Hg 0.113 0.377 0.360
Hg 0.147 0.719 0.225
Hg 0.713 0.552 0.613
Hg 0.887 0.877 0.640
Hg 0.864 0.641 0.351
Hg 0.474 0.315 0.682
Hg 0.824 0.488 0.001
Cl 0.478 0.153 0.131
Cl 0.322 0.598 0.102
Cl 0.642 0.427 0.154
Cl 0.144 0.287 0.088
Cl 0.856 0.787 0.912
Cl 0.496 0.373 0.367
Cl 0.887 0.374 0.523
Cl 0.663 0.089 0.486
Cl 0.693 0.857 0.156
Cl 0.522 0.653 0.869
Cl 0.113 0.874 0.477
Cl 0.307 0.357 0.844
Cl 0.886 0.157 0.284
Cl 0.678 0.098 0.898
Cl 0.358 0.927 0.846
Cl 0.337 0.589 0.514
Cl 0.114 0.657 0.716
Cl 0.504 0.873 0.633
In 0.699 0.247 0.335
In 0.631 0.875 0.908
In 0.369 0.375 0.092
In 0.301 0.747 0.665
P 0.744 0.719 0.480
P 0.288 0.898 0.225
P 0.012 0.056 0.773
P 0.988 0.556 0.227
P 0.256 0.219 0.520
P 0.712 0.398 0.775
! D(E_F) ... 0.00 states/eV per cell
! E_tot ... -29.678 eV per atom
! Spin magnetization ... 0.0 μB/f.u.

=====

(5)
! KV3Se2O12, PBEsol geometry, DFT SCAN; values from VASP
&SYSTEM
  ibrav = 0, nat = 36, ntyp = 4
/
ATOMIC_SPECIES
O 16.00 O.upf
V 50.94 V.upf
Se 78.96 Se.upf
K 39.10 K.upf
CELL_PARAMETERS angstrom
7.064 0.000 0.000
-3.532 6.118 0.000
0.000 0.000 11.568
ATOMIC_POSITIONS crystal
O 0.785 0.196 0.552
O 0.589 0.785 0.052
O 0.215 0.804 0.052
O 0.251 0.126 0.183
O 0.880 0.745 0.870
O 0.749 0.874 0.683
O 0.919 0.460 0.737
O 0.745 0.865 0.370
O 0.124 0.251 0.683
O 0.459 0.919 0.237
O 0.196 0.411 0.052
O 0.540 0.459 0.737
O 0.126 0.876 0.683
O 0.876 0.749 0.183
O 0.865 0.120 0.870
O 0.460 0.541 0.237
O 0.874 0.124 0.183
O 0.081 0.540 0.237
O 0.411 0.215 0.552
O 0.135 0.880 0.370
O 0.541 0.081 0.737
O 0.255 0.135 0.870
O 0.120 0.255 0.370
O 0.804 0.589 0.552
V 0.792 0.667 0.714
V 0.875 0.208 0.714
V 0.667 0.875 0.214
V 0.333 0.125 0.714
V 0.208 0.333 0.214
V 0.125 0.792 0.214
Se 0.000 0.000 0.436
Se 0.000 0.000 0.936
Se 0.333 0.667 0.989
Se 0.667 0.333 0.489
K 0.667 0.333 0.086
K 0.333 0.667 0.586
! D(E_F) ... 0.00 states/eV per cell
! E_tot ... -11.734 eV per atom
! Spin magnetization ... 0.0 μB/f.u.

=====

(6)
! Ta2TlIr, PBEsol geometry, DFT SCAN; values from VASP
&SYSTEM
  ibrav = 0, nat = 4, ntyp = 3
/
ATOMIC_SPECIES
Ir 192.22 Ir.upf
Tl 204.38 Tl.upf
Ta 180.95 Ta.upf
CELL_PARAMETERS angstrom
3.976 0.000 0.000
0.000 3.976 0.000
-1.988 -1.988 4.406
ATOMIC_POSITIONS crystal
Ir 0.250 0.750 0.500
Tl 0.500 0.500 0.000
Ta 0.000 0.000 0.000
Ta 0.750 0.250 0.500
! Relative energy among the computed polymorphs ... 114 meV/atom
! D(E_F) ... 3.66 states/eV per cell
! E_form ... 193 meV per atom
! Spin magnetization ... 0.0 μB/f.u.

=====

(7)
! Sc3Cr, PBEsol geometry, DFT SCAN; values from VASP
&SYSTEM
  ibrav = 0, nat = 4, ntyp = 2
/
ATOMIC_SPECIES
Sc 44.96 Sc.upf
Cr 52.00 Cr.upf
CELL_PARAMETERS angstrom
-1.116 2.380 1.884
-4.286 -2.150 0.176
1.514 -2.668 4.267
ATOMIC_POSITIONS crystal
Sc 0.500 0.500 0.853
Sc 0.500 0.000 0.486
Sc 0.000 0.500 0.333
Cr 0.000 0.000 0.995
! D(E_F) ... 4.81 states/eV per cell
! E_form ... 113 meV per atom
! Spin magnetization ... 2.6 μB/f.u.

=====

(8)
! SbPBr2, PBEsol geometry, DFT SCAN; values from VASP
&SYSTEM
  ibrav = 0, nat = 4, ntyp = 3
/
ATOMIC_SPECIES
Br 79.90 Br.upf
Sb 121.76 Sb.upf
P 30.97 P.upf
CELL_PARAMETERS angstrom
4.962 0.000 0.000
2.481 4.297 0.000
2.481 1.432 4.052
ATOMIC_POSITIONS crystal
Br 0.000 0.000 0.000
Br 0.250 0.250 0.250
Sb 0.750 0.750 0.750
P 0.500 0.500 0.500
! Relative energy among the computed polymorphs ... 91 meV/atom
! D(E_F) ... 2.58 states/eV per cell
! Spin magnetization ... 0.0 μB/f.u.

=====

(9)
! CdCoPt2, PBEsol geometry, DFT SCAN; values from VASP
&SYSTEM
  ibrav = 0, nat = 4, ntyp = 3
/
ATOMIC_SPECIES
Pt 195.08 Pt.upf
Co 58.93 Co.upf
Cd 112.41 Cd.upf
CELL_PARAMETERS angstrom
-0.962 1.817 1.899
1.097 -2.237 2.696
5.152 2.633 0.089
ATOMIC_POSITIONS crystal
Pt 0.000 0.000 0.273
Pt 0.000 0.000 0.727
Co 0.500 0.500 0.500
Cd 0.500 0.500 0.000
! D(E_F) ... 1.54 states/eV per cell
! E_form ... -206 meV per atom
! Spin magnetization ... 2.5 μB/f.u.

=====

(10)
! AlHgAs, PBEsol geometry, DFT SCAN; values from VASP
&SYSTEM
  ibrav = 0, nat = 3, ntyp = 3
/
ATOMIC_SPECIES
Al 26.98 Al.upf
As 74.92 As.upf
Hg 200.59 Hg.upf
CELL_PARAMETERS angstrom
-0.146 3.836 2.529
-3.504 2.938 -0.479
-3.117 0.426 3.352
ATOMIC_POSITIONS crystal
Al 0.500 0.500 0.500
As 0.250 0.250 0.250
Hg 0.000 0.000 0.000
! D(E_F) ... 0.93 states/eV per cell
! E_form ... 229 meV per atom
! Spin magnetization ... 0.0 μB/f.u.

=====

(11)
! SiAgAs2, PBEsol geometry, DFT SCAN; values from VASP
&SYSTEM
  ibrav = 0, nat = 4, ntyp = 3
/
ATOMIC_SPECIES
Ag 107.87 Ag.upf
As 74.92 As.upf
Si 28.09 Si.upf
CELL_PARAMETERS angstrom
-2.552 -0.945 2.291
0.285 -3.881 -1.283
3.378 -0.876 3.402
ATOMIC_POSITIONS crystal
Ag 0.000 0.500 0.500
As 0.500 0.000 0.500
As 0.000 0.000 0.000
Si 0.500 0.500 0.000
! D(E_F) ... 1.52 states/eV per cell
! E_tot ... -19.903 eV per atom
! Spin magnetization ... 0.0 μB/f.u.

=====

(12)
! OsRh2Au, PBEsol geometry, DFT SCAN; values from VASP
&SYSTEM
  ibrav = 0, nat = 4, ntyp = 3
/
ATOMIC_SPECIES
Au 196.97 Au.upf
Os 190.23 Os.upf
Rh 102.91 Rh.upf
CELL_PARAMETERS angstrom
-1.640 -3.849 -1.213
0.580 -1.428 -4.074
2.665 -3.358 -0.772
ATOMIC_POSITIONS crystal
Au 0.500 0.500 0.500
Os 0.250 0.250 0.250
Rh 0.750 0.750 0.750
Rh 0.000 0.000 0.000
! Relative energy among the computed polymorphs ... 556 meV/atom
! D(E_F) ... 5.51 states/eV per cell
! E_form ... 609 meV per atom
! Spin magnetization ... 0.0 μB/f.u.

=====

(13)
! Al4TeMo, PBEsol geometry, DFT SCAN; values from VASP
&SYSTEM
  ibrav = 0, nat = 6, ntyp = 3
/
ATOMIC_SPECIES
Al 26.98 Al.upf
Mo 95.94 Mo.upf
Te 127.60 Te.upf
CELL_PARAMETERS angstrom
-1.235 -4.880 -1.417
1.882 -4.063 2.702
-3.199 -2.860 2.988
ATOMIC_POSITIONS crystal
Al 0.376 0.376 0.376
Al 0.376 0.376 0.871
Al 0.376 0.871 0.376
Al 0.871 0.376 0.376
Mo 0.750 0.750 0.750
Te 0.000 0.000 0.000
! D(E_F) ... 3.14 states/eV per cell
! E_tot ... -16.980 eV per atom
! Spin magnetization ... 0.0 μB/f.u.

=====

(14)
! K2Na2NdF7, PBEsol geometry, DFT SCAN; values from VASP
&SYSTEM
  ibrav = 0, nat = 72, ntyp = 4
/
ATOMIC_SPECIES
Na 22.99 Na.upf
F 19.00 F.upf
Nd 144.24 Nd.upf
K 39.10 K.upf
CELL_PARAMETERS angstrom
-8.891 3.378 5.463
-2.809 -2.669 -10.262
4.265 -8.770 5.022
ATOMIC_POSITIONS crystal
Na 0.500 0.000 0.000
Na 0.240 0.240 0.240
Na 0.760 0.000 0.000
Na 0.000 0.500 0.000
Na 0.000 0.000 0.240
Na 0.240 0.000 0.000
Na 0.000 0.760 0.000
Na 0.000 0.000 0.760
Na 0.000 0.000 0.500
Na 0.000 0.240 0.000
Na 0.760 0.760 0.760
Na 0.500 0.500 0.500
F 0.824 0.000 0.824
F 0.176 0.000 0.429
F 0.500 0.862 0.362
F 0.571 0.824 0.000
F 0.429 0.429 0.254
F 0.000 0.824 0.571
F 0.824 0.254 0.824
F 0.824 0.000 0.571
F 0.862 0.362 0.500
F 0.746 0.571 0.571
F 0.638 0.138 0.500
F 0.176 0.429 0.000
F 0.000 0.429 0.176
F 0.571 0.000 0.824
F 0.176 0.746 0.176
F 0.862 0.500 0.362
F 0.000 0.176 0.176
F 0.176 0.176 0.000
F 0.824 0.571 0.000
F 0.500 0.362 0.862
F 0.500 0.638 0.138
F 0.824 0.824 0.000
F 0.176 0.000 0.176
F 0.429 0.000 0.176
F 0.254 0.824 0.824
F 0.571 0.746 0.571
F 0.500 0.138 0.638
F 0.000 0.571 0.824
F 0.254 0.429 0.429
F 0.571 0.571 0.746
F 0.138 0.500 0.638
F 0.429 0.176 0.000
F 0.429 0.254 0.429
F 0.000 0.824 0.824
F 0.000 0.176 0.429
F 0.362 0.862 0.500
F 0.362 0.500 0.862
F 0.746 0.176 0.176
F 0.138 0.638 0.500
F 0.176 0.176 0.746
F 0.638 0.500 0.138
F 0.824 0.824 0.254
Nd 0.634 0.634 0.000
Nd 0.366 0.366 0.000
Nd 0.634 0.000 0.634
Nd 0.000 0.634 0.634
Nd 0.000 0.366 0.366
Nd 0.366 0.000 0.366
K 0.612 0.306 0.306
K 0.306 0.000 0.694
K 0.306 0.694 0.000
K 0.694 0.000 0.306
K 0.306 0.306 0.612
K 0.306 0.612 0.306
K 0.388 0.694 0.694
K 0.694 0.694 0.388
K 0.694 0.388 0.694
K 0.000 0.306 0.694
K 0.000 0.694 0.306
K 0.694 0.306 0.000
! D(E_F) ... 0.00 states/eV per cell
! E_tot ... -11.225 eV per atom
! Spin magnetization ... 0.1 μB/f.u.

=====

(15)
! SrZnOs2, PBEsol geometry, DFT SCAN; values from VASP
&SYSTEM
  ibrav = 0, nat = 4, ntyp = 3
/
ATOMIC_SPECIES
Zn 65.41 Zn.upf
Os 190.23 Os.upf
Sr 87.62 Sr.upf
CELL_PARAMETERS angstrom
-0.375 2.687 -0.959
0.876 -1.550 -4.686
-5.187 -1.479 2.201
ATOMIC_POSITIONS crystal
Zn 0.287 0.787 0.573
Os 0.008 0.008 0.015
Os 0.711 0.211 0.422
Sr 0.494 0.494 0.989
! D(E_F) ... 2.29 states/eV per cell
! E_form ... 738 meV per atom
! Spin magnetization ... 0.0 μB/f.u.

=====

(16)
! K2PrAgBr6, PBEsol geometry, DFT SCAN; values from VASP
&SYSTEM
  ibrav = 0, nat = 10, ntyp = 4
/
ATOMIC_SPECIES
K 39.10 K.upf
Br 79.90 Br.upf
Pr 140.91 Pr.upf
Ag 107.87 Ag.upf
CELL_PARAMETERS angstrom
-1.309 2.080 7.545
-1.472 -5.573 5.453
5.416 -1.636 5.563
ATOMIC_POSITIONS crystal
K 0.750 0.750 0.750
K 0.250 0.250 0.250
Br 0.246 0.754 0.754
Br 0.754 0.246 0.246
Br 0.246 0.754 0.246
Br 0.754 0.754 0.246
Br 0.246 0.246 0.754
Br 0.754 0.246 0.754
Pr 0.500 0.500 0.500
Ag 0.000 0.000 0.000
! D(E_F) ... 0.00 states/eV per cell
! E_tot ... -22.450 eV per atom
! Spin magnetization ... 0.0 μB/f.u.

=====

(17)
! BaCrI2, PBEsol geometry, DFT SCAN; values from VASP
&SYSTEM
  ibrav = 0, nat = 4, ntyp = 3
/
ATOMIC_SPECIES
Ba 137.33 Ba.upf
I 126.90 I.upf
Cr 52.00 Cr.upf
CELL_PARAMETERS angstrom
5.776 0.000 0.000
2.888 5.002 0.000
2.888 1.667 4.716
ATOMIC_POSITIONS crystal
Ba 0.500 0.500 0.500
I 0.750 0.750 0.750
I 0.250 0.250 0.250
Cr 0.000 0.000 0.000
! E_tot ... -33.661 eV per atom
! Spin magnetization ... 6.0 μB/f.u.

=====

(18)
! LaTcRu2, PBEsol geometry, DFT SCAN; values from VASP
&SYSTEM
  ibrav = 0, nat = 4, ntyp = 3
/
ATOMIC_SPECIES
La 138.91 La.upf
Ru 101.07 Ru.upf
Tc 98.00 Tc.upf
CELL_PARAMETERS angstrom
3.067 0.000 0.000
0.000 3.067 0.000
0.000 0.000 7.389
ATOMIC_POSITIONS crystal
La 0.500 0.500 0.756
Ru 0.000 0.000 0.050
Ru 0.500 0.500 0.260
Tc 0.000 0.000 0.434
! Relative energy among the computed polymorphs ... 290 meV/atom
! D(E_F) ... 4.83 states/eV per cell
! E_form ... 363 meV per atom
! Spin magnetization ... 0.0 μB/f.u.

=====

(19)
! MgCdCoOs2, PBEsol geometry, DFT SCAN; values from VASP
&SYSTEM
  ibrav = 0, nat = 5, ntyp = 4
/
ATOMIC_SPECIES
Os 190.23 Os.upf
Co 58.93 Co.upf
Mg 24.30 Mg.upf
Cd 112.41 Cd.upf
CELL_PARAMETERS angstrom
4.217 0.000 0.000
0.000 4.535 0.000
0.000 0.000 4.535
ATOMIC_POSITIONS crystal
Os 0.000 0.000 0.500
Os 0.000 0.500 0.000
Co 0.500 0.000 0.000
Mg 0.000 0.000 0.000
Cd 0.500 0.500 0.500
! D(E_F) ... 3.66 states/eV per cell
! E_form ... 1940 meV per atom
! Spin magnetization ... 2.3 μB/f.u.